# 1
A plane-wave DFT calculation with PBE was carried out for a relaxed structure of Y6HoSc4.

Computed properties:
Total DFT energy (no corrections) = -6.0833 eV per atom
D(E_F) = 20.0 states/eV/f.u.
Calculated volume = 333.5 Å³/cell

a b c (Å): 10.5667 10.5667 3.4493
angles (deg): 90.00 90.00 120.00
With the nearest neighbours (Å) after each atom.
Sites, in units of the cell vectors:
Y  0.1838  0.3676  0.0000  4 Sc 3.15-3.23, 2 Y 3.45
Y  0.1838  0.8162  0.0000  4 Sc 3.15-3.23, 2 Y 3.45
Y  0.5275  0.0549  0.5000  5 Sc 3.42-3.55, 6 Y 3.45-3.66
Y  0.5275  0.4725  0.5000  5 Sc 3.42-3.55, 6 Y 3.45-3.66
Y  0.6324  0.8162  0.0000  4 Sc 3.15-3.23, 2 Y 3.45
Y  0.9451  0.4725  0.5000  5 Sc 3.42-3.55, 6 Y 3.45-3.66
Ho  0.0000  0.0000  0.5000  6 Sc 3.35, 2 Ho 3.45
Sc  0.3133  0.1567  0.0000  6 Y 3.15-3.42, 2 Ho 3.35, 2 Sc 3.45
Sc  0.3333  0.6667  0.5000  9 Y 3.23-3.55, 2 Sc 3.45
Sc  0.8434  0.1567  0.0000  6 Y 3.15-3.42, 2 Ho 3.35, 2 Sc 3.45
Sc  0.8434  0.6867  0.0000  6 Y 3.15-3.42, 2 Ho 3.35, 2 Sc 3.45

---

# 2
A plane-wave DFT calculation with PBE was carried out for a relaxed structure of LiY2CrIr.

Computed properties:
Total DFT energy (no corrections) = -6.4592 eV per atom
D(E_F) = 2.9 states/eV/f.u.
Calculated volume = 134.5 Å³/cell

a b c (Å): 5.3316 5.3316 4.7314
angles (deg): 90.00 90.00 90.00
With the nearest neighbours (Å) after each atom.
Sites, in units of the cell vectors:
Li  0.0000  0.0000  0.0000  2 Ir 2.37
Y  0.0000  0.5000  0.5000  2 Ir 2.67
Y  0.5000  0.0000  0.5000  2 Ir 2.67
Cr  0.5000  0.5000  0.0000  8 Y 3.56, 4 Li 3.77
Ir  0.0000  0.0000  0.5000  2 Li 2.37